CeDy5YEr2 after structural relaxation, computed with GGA-PBE.

The formation energy comes out at 0.176 eV per atom. As for the mass density: 7.880 g/cm3.

a = 5.6731 Å, b = 21.5033 Å, c = 9.5082 Å
α = 90.00°, β = 90.00°, γ = 90.00°
Last column: nearest neighbours and their distance in Å.
Space group Cmc2_1 (No. 36)
One atom of each set of equivalent atoms:
1 Ce 0.0000 0.1917 0.0000 x4  2 Er 3.24-3.32, 5 Dy 3.36-3.48, 2 Y 3.60
2 Dy 0.0000 0.0129 0.9918 x4  3 Er 3.27-3.66, 2 Y 3.46, 2 Dy 3.63
3 Dy 0.0000 0.2669 0.3103 x4  1 Y 3.06, 1 Er 3.30, 1 Ce 3.36, 2 Dy 3.42
4 Dy 0.0000 0.3059 0.6937 x4  2 Ce 3.38, 5 Dy 3.42-3.74, 1 Y 3.44, 3 Er 3.48-3.69
5 Dy 0.0000 0.3948 0.0236 x4  2 Dy 3.26-3.48, 4 Er 3.29-3.54, 1 Y 3.64
6 Dy 0.0000 0.4705 0.7269 x4  2 Y 3.21-3.38, 3 Dy 3.26-3.55, 2 Er 3.44
7 Y 0.0000 0.4029 0.4061 x4  3 Dy 3.06-3.38
8 Er 0.0000 0.1137 0.3011 x4  9 Dy 3.27-3.65, 1 Ce 3.32
9 Er 0.0000 0.1345 0.6850 x4  1 Ce 3.24, 2 Dy 3.29, 2 Y 3.62

CeDy5Y2Er after structural relaxation, computed with GGA-PBE.

The formation energy comes out at 0.173 eV per atom. As for the mass density: 7.401 g/cm3.

a = 5.6073 Å, b = 20.1515 Å, c = 10.3063 Å
α = 90.00°, β = 90.00°, γ = 90.00°
Last column: nearest neighbours and their distance in Å.
Space group Cmc2_1 (No. 36)
One atom of each set of equivalent atoms:
1 Ce 0.0000 0.2005 0.0000 x4  2 Y 3.40-3.59, 7 Dy 3.41-3.77, 2 Er 3.63
2 Dy 0.0000 0.0169 0.0066 x4  2 Er 3.26, 4 Y 3.36-3.63, 2 Dy 3.60
3 Dy 0.0000 0.2763 0.2974 x4  1 Er 3.04, 1 Y 3.28, 2 Dy 3.38
4 Dy 0.0000 0.2988 0.6884 x4  3 Dy 3.38-3.63, 3 Ce 3.41-3.77, 1 Er 3.42, 3 Y 3.52-3.74
5 Dy 0.0000 0.3915 0.0123 x4  6 Dy 3.43-3.82, 4 Y 3.51-3.53
6 Dy 0.0000 0.4780 0.7256 x4  2 Er 3.15-3.29, 2 Dy 3.43, 2 Y 3.45
7 Y 0.0000 0.1135 0.3039 x4  9 Dy 3.28-3.63, 1 Ce 3.59
8 Y 0.0000 0.1139 0.7172 x4  1 Ce 3.40, 7 Dy 3.41-3.74, 2 Er 3.63
9 Er 0.0000 0.4091 0.4364 x4  5 Dy 3.04-3.29

CeDyErZr after structural relaxation, computed with GGA-PBE.

The formation energy comes out at 0.217 eV per atom. As for the mass density: 8.157 g/cm3.

a = 7.7020 Å, b = 7.7020 Å, c = 7.7020 Å
α = 90.00°, β = 90.00°, γ = 90.00°
Last column: nearest neighbours and their distance in Å.
Space group F-43m (No. 216)
One atom of each set of equivalent atoms:
1 Ce 0.0000 0.0000 0.0000 x4  4 Zr 3.34, 4 Er 3.34
2 Dy 0.0000 0.0000 0.5000 x4  4 Zr 3.34, 4 Er 3.34
3 Er 0.2500 0.2500 0.7500 x4  4 Dy 3.34, 4 Ce 3.34
4 Zr 0.2500 0.2500 0.2500 x4  4 Dy 3.34, 4 Ce 3.34

CeEuDy after structural relaxation, computed with GGA-PBE.

The formation energy comes out at 0.124 eV per atom. Its distance to the lowest polymorph of the same formula is 0.000 kcal/mol of atoms. As for the mass density: 7.531 g/cm3.

a = 3.5942 Å, b = 3.5942 Å, c = 8.9591 Å
α = 90.00°, β = 90.00°, γ = 120.00°
Last column: nearest neighbours and their distance in Å.
Space group P3m1 (No. 156)
One atom of each set of equivalent atoms:
1 Ce 0.0000 0.0000 0.0000 x1  3 Dy 3.46, 6 Ce 3.59, 3 Eu 3.71
2 Eu 0.3333 0.6667 0.6567 x1  6 Eu 3.59, 3 Ce 3.71, 3 Dy 3.74
3 Dy 0.6667 0.3333 0.3093 x1  3 Ce 3.46, 6 Dy 3.59, 3 Eu 3.74

CeEuDy after structural relaxation, computed with GGA-PBE.

The formation energy comes out at 0.130 eV per atom. Its distance to the lowest polymorph of the same formula is 0.130 kcal/mol of atoms. As for the mass density: 7.479 g/cm3.

a = 3.5967 Å, b = 3.5967 Å, c = 15.6049 Å
α = 90.00°, β = 90.00°, γ = 90.00°
Last column: nearest neighbours and their distance in Å.
Space group I4mm (No. 107)
One atom of each set of equivalent atoms:
1 Ce 0.0000 0.0000 0.0000 x2  4 Dy 3.46, 4 Ce 3.60, 4 Eu 3.69
2 Eu 0.0000 0.0000 0.6716 x2  4 Eu 3.60, 4 Ce 3.69, 4 Dy 3.77
3 Dy 0.0000 0.0000 0.3501 x2  4 Ce 3.46, 4 Dy 3.60, 4 Eu 3.77

CeEuGdDy after structural relaxation, computed with GGA-PBE.

The formation energy comes out at 0.231 eV per atom. As for the mass density: 7.492 g/cm3.

a = 8.1555 Å, b = 8.1555 Å, c = 8.1555 Å
α = 90.00°, β = 90.00°, γ = 90.00°
Last column: nearest neighbours and their distance in Å.
Space group F-43m (No. 216)
One atom of each set of equivalent atoms:
1 Ce 0.0000 0.0000 0.0000 x4  4 Dy 3.53, 4 Gd 3.53
2 Eu 0.0000 0.0000 0.5000 x4  4 Gd 3.53, 4 Dy 3.53
3 Gd 0.2500 0.2500 0.2500 x4  4 Ce 3.53, 4 Eu 3.53
4 Dy 0.2500 0.2500 0.7500 x4  4 Ce 3.53, 4 Eu 3.53

CeEuDyLu after structural relaxation, computed with GGA-PBE.

The formation energy comes out at 0.215 eV per atom. As for the mass density: 7.934 g/cm3.

a = 8.0776 Å, b = 8.0776 Å, c = 8.0776 Å
α = 90.00°, β = 90.00°, γ = 90.00°
Last column: nearest neighbours and their distance in Å.
Space group F-43m (No. 216)
One atom of each set of equivalent atoms:
1 Ce 0.0000 0.0000 0.0000 x4  4 Dy 3.50, 4 Lu 3.50
2 Eu 0.0000 0.0000 0.5000 x4  4 Dy 3.50, 4 Lu 3.50
3 Dy 0.2500 0.2500 0.7500 x4  4 Ce 3.50, 4 Eu 3.50
4 Lu 0.2500 0.2500 0.2500 x4  4 Ce 3.50, 4 Eu 3.50

CeEuDyMg after structural relaxation, computed with GGA-PBE.

The formation energy comes out at 0.157 eV per atom. As for the mass density: 6.308 g/cm3.

a = 7.9594 Å, b = 7.9594 Å, c = 7.9594 Å
α = 90.00°, β = 90.00°, γ = 90.00°
Last column: nearest neighbours and their distance in Å.
Space group F-43m (No. 216)
One atom of each set of equivalent atoms:
1 Ce 0.0000 0.0000 0.0000 x4  4 Dy 3.45, 4 Mg 3.45
2 Eu 0.0000 0.0000 0.5000 x4  4 Dy 3.45, 4 Mg 3.45
3 Dy 0.2500 0.2500 0.2500 x4  4 Ce 3.45, 4 Eu 3.45
4 Mg 0.2500 0.2500 0.7500 x4  4 Ce 3.45, 4 Eu 3.45

CePrEuDy after structural relaxation, computed with GGA-PBE.

The formation energy comes out at 0.232 eV per atom. As for the mass density: 7.070 g/cm3.

a = 8.2399 Å, b = 8.2399 Å, c = 8.2399 Å
α = 90.00°, β = 90.00°, γ = 90.00°
Last column: nearest neighbours and their distance in Å.
Space group F-43m (No. 216)
One atom of each set of equivalent atoms:
1 Ce 0.0000 0.0000 0.0000 x4  4 Pr 3.57, 4 Dy 3.57
2 Pr 0.2500 0.2500 0.2500 x4  4 Ce 3.57, 4 Eu 3.57
3 Eu 0.0000 0.0000 0.5000 x4  4 Dy 3.57, 4 Pr 3.57
4 Dy 0.2500 0.2500 0.7500 x4  4 Ce 3.57, 4 Eu 3.57

CeEuDyTl after structural relaxation, computed with GGA-PBE.

The formation energy comes out at 0.028 eV per atom. As for the mass density: 9.122 g/cm3.

a = 7.8287 Å, b = 7.8287 Å, c = 7.8287 Å
α = 90.00°, β = 90.00°, γ = 90.00°
Last column: nearest neighbours and their distance in Å.
Space group F-43m (No. 216)
One atom of each set of equivalent atoms:
1 Ce 0.0000 0.0000 0.0000 x4  4 Eu 3.39, 4 Dy 3.39
2 Eu 0.2500 0.2500 0.7500 x4  4 Tl 3.39, 4 Ce 3.39
3 Dy 0.2500 0.2500 0.2500 x4  4 Tl 3.39, 4 Ce 3.39
4 Tl 0.0000 0.0000 0.5000 x4  4 Dy 3.39, 4 Eu 3.39

CeDyF after structural relaxation, computed with GGA-PBE.

As for the mass density: 7.956 g/cm3. For the raw formation energy, the calculation gives -1478 meV per atom.

a = 7.1417 Å, b = 6.5333 Å, c = 5.8457 Å
α = 90.00°, β = 100.13°, γ = 90.00°
Last column: nearest neighbours and their distance in Å.
Space group P2_1/c (No. 14)
One atom of each set of equivalent atoms:
1 Ce 0.1033 0.0944 0.1808 x4  2 F 2.64-2.78, 1 Ce 2.66
2 Dy 0.3657 0.6112 0.2453 x4  3 F 2.35-2.60
3 F 0.3866 0.1832 0.5209 x4  3 Dy 2.35-2.60

CeDy2F after structural relaxation, computed with GGA-PBE.

As for the mass density: 8.608 g/cm3. For the raw formation energy, the calculation gives -877 meV per atom.

a = 3.2487 Å, b = 3.2487 Å, c = 30.6513 Å
α = 90.00°, β = 90.00°, γ = 120.00°
Last column: nearest neighbours and their distance in Å.
Space group R-3m (No. 166, hexagonal axes)
One atom of each set of equivalent atoms:
1 Ce 0.0000 0.0000 0.0000 x3  2 Dy 3.24, 6 Ce 3.25
2 Dy 0.0000 0.0000 0.1057 x6  3 F 2.65
3 F 0.0000 0.0000 0.5000 x3  6 Dy 2.65